[1]
The following is a GGA-PBEsol calculation of crystalline LaFeBr at its relaxed geometry, from Alexandria via LeMat-Bulk.

Lattice parameters (Å, degrees): 4.9091 4.9091 4.9091 60.00 60.00 60.00
Closest atoms and distances in Å follow each position.
Sites, in units of the cell vectors:
1 Br 0.0000 0.0000 0.0000  4 La 3.01
2 Fe 0.5000 0.5000 0.5000  4 La 3.01
3 La 0.2500 0.2500 0.2500  4 Fe 3.01, 4 Br 3.01

Computed properties:
- Space-group type: No. 216
- E_form (uncorrected): 0.2545 eV/atom
- ρ: 5.45 g/cm3
- Total DFT energy (no corrections): -5.14 eV per atom



[2]
The following is a GGA-PBEsol calculation of crystalline LiSiI3 at its relaxed geometry, from Alexandria via LeMat-Bulk.

Lattice parameters (Å, degrees): 5.6089 5.6089 5.6089 90.00 90.00 90.00
Closest atoms and distances in Å follow each position.
Sites, in units of the cell vectors:
1 I 0.0000 0.5000 0.0000  2 Si 2.80
2 I 0.0000 0.0000 0.5000  2 Si 2.80
3 I 0.5000 0.0000 0.0000  2 Si 2.80
4 Si 0.0000 0.0000 0.0000  6 I 2.80
5 Li 0.5000 0.5000 0.5000  12 I 3.97

Computed properties:
- Space-group type: No. 221
- E_form (uncorrected): -0.3008 eV/atom
- ρ: 3.91 g/cm3
- Total DFT energy (no corrections): -2.90 eV per atom



[3]
The following is a GGA-PBEsol calculation of crystalline YAgS2 at its relaxed geometry, from Alexandria via LeMat-Bulk.

Lattice parameters (Å, degrees): 4.0185 4.0185 7.7804 75.03 75.03 60.00
Closest atoms and distances in Å follow each position.
Sites, in units of the cell vectors:
1 Y 0.5000 0.5000 0.5000  6 S 2.71
2 S 0.8964 0.8964 0.3109  1 Ag 2.31
3 S 0.1036 0.1036 0.6891  1 Ag 2.31
4 Ag 0.0000 0.0000 0.0000  2 S 2.31

Computed properties:
- Space-group type: No. 166
- E_form (uncorrected): -1.2938 eV/atom
- ρ: 4.17 g/cm3
- Total DFT energy (no corrections): -6.02 eV per atom



[4]
The following is a GGA-PBEsol calculation of crystalline Y3TiAu at its relaxed geometry, from Alexandria via LeMat-Bulk.

Lattice parameters (Å, degrees): 5.1378 5.1378 5.1378 90.00 90.00 90.00
Closest atoms and distances in Å follow each position.
Sites, in units of the cell vectors:
1 Y 0.0000 0.5000 0.0000  2 Ti 2.57
2 Y 0.0000 0.0000 0.5000  2 Ti 2.57
3 Y 0.5000 0.0000 0.0000  2 Ti 2.57
4 Au 0.5000 0.5000 0.5000  12 Y 3.63
5 Ti 0.0000 0.0000 0.0000  6 Y 2.57

Computed properties:
- Space-group type: No. 221
- ρ: 6.26 g/cm3
- Total DFT energy (no corrections): -6.05 eV per atom



[5]
The following is a GGA-PBEsol calculation of crystalline CuRePO2 at its relaxed geometry, from Alexandria via LeMat-Bulk.

Lattice parameters (Å, degrees): 3.5952 3.5952 4.7005 90.00 90.00 90.00
Closest atoms and distances in Å follow each position.
Sites, in units of the cell vectors:
1 Re 0.5000 0.5000 0.5000  4 P 2.54
2 O 0.0000 0.5000 0.0000  2 Cu 1.80
3 O 0.5000 0.0000 0.0000  2 Cu 1.80
4 Cu 0.0000 0.0000 0.0000  4 O 1.80
5 P 0.0000 0.0000 0.5000  2 Cu 2.35, 4 Re 2.54

Computed properties:
- Space-group type: No. 123
- E_form (uncorrected): 0.7271 eV/atom
- ρ: 8.55 g/cm3
- Total DFT energy (no corrections): -6.06 eV per atom



[6]
The following is a GGA-PBEsol calculation of crystalline CsPt2S at its relaxed geometry, from Alexandria via LeMat-Bulk.

Lattice parameters (Å, degrees): 5.4391 5.4391 8.1701 109.44 109.44 90.00
Closest atoms and distances in Å follow each position.
Sites, in units of the cell vectors:
1 Cs 0.0000 0.0000 0.0000  8 Pt 3.53, 4 S 3.85
2 Cs 0.2500 0.7500 0.5000  8 Pt 3.53, 4 S 3.85
3 S 0.5000 0.5000 0.0000  4 Pt 2.26
4 S 0.7500 0.2500 0.5000  4 Pt 2.26
5 Pt 0.6250 0.3750 0.7500  2 S 2.26
6 Pt 0.1250 0.3750 0.7500  2 S 2.26
7 Pt 0.6250 0.8750 0.2500  2 S 2.26
8 Pt 0.6250 0.3750 0.2500  2 S 2.26

Computed properties:
- Space-group type: No. 141
- E_form (uncorrected): -0.4518 eV/atom
- ρ: 8.65 g/cm3
- Total DFT energy (no corrections): -5.27 eV per atom



[7]
The following is a GGA-PBEsol calculation of crystalline LaTcTe2 at its relaxed geometry, from Alexandria via LeMat-Bulk.

Lattice parameters (Å, degrees): 4.3341 4.3341 6.4828 70.47 70.47 60.00
Closest atoms and distances in Å follow each position.
Sites, in units of the cell vectors:
1 La 0.0000 0.0000 0.0000  6 Te 3.13
2 Tc 0.5000 0.5000 0.5000  6 Te 2.74
3 Te 0.2285 0.2285 0.3145  3 Tc 2.74
4 Te 0.7715 0.7715 0.6855  3 Tc 2.74

Computed properties:
- Space-group type: No. 166
- E_form (uncorrected): -0.6435 eV/atom
- ρ: 8.40 g/cm3
- Total DFT energy (no corrections): -6.56 eV per atom



[8]
The following is a GGA-PBEsol calculation of crystalline PRhCl at its relaxed geometry, from Alexandria via LeMat-Bulk.

Lattice parameters (Å, degrees): 4.1658 4.1658 4.1658 60.00 60.00 60.00
Closest atoms and distances in Å follow each position.
Sites, in units of the cell vectors:
1 Cl 0.5000 0.5000 0.5000  4 P 2.55
2 P 0.2500 0.2500 0.2500  4 Cl 2.55, 4 Rh 2.55
3 Rh 0.0000 0.0000 0.0000  4 P 2.55

Computed properties:
- Space-group type: No. 216
- E_form (uncorrected): 0.6403 eV/atom
- ρ: 5.50 g/cm3
- Total DFT energy (no corrections): -4.67 eV per atom



[9]
The following is a GGA-PBEsol calculation of crystalline Ti6Ni16Ge7 at its relaxed geometry, from Alexandria via LeMat-Bulk.

Lattice parameters (Å, degrees): 7.9537 7.9537 7.9537 60.00 60.00 60.00
Closest atoms and distances in Å follow each position.
Sites, in units of the cell vectors:
1 Ti 0.2008 0.7992 0.7992  8 Ni 2.66-2.77, 4 Ge 2.87
2 Ti 0.7992 0.2008 0.7992  8 Ni 2.66-2.77, 4 Ge 2.87
3 Ti 0.7992 0.2008 0.2008  8 Ni 2.66-2.77, 4 Ge 2.87
4 Ti 0.2008 0.7992 0.2008  8 Ni 2.66-2.77, 4 Ge 2.87
5 Ti 0.2008 0.2008 0.7992  8 Ni 2.66-2.77, 4 Ge 2.87
6 Ti 0.7992 0.7992 0.2008  8 Ni 2.66-2.77, 4 Ge 2.87
7 Ni 0.8546 0.3818 0.3818  4 Ge 2.30-2.48, 3 Ni 2.55
8 Ni 0.8346 0.8346 0.8346  3 Ge 2.30, 3 Ni 2.55
9 Ni 0.6182 0.1454 0.6182  4 Ge 2.30-2.48, 3 Ni 2.55
10 Ni 0.1654 0.5037 0.1654  3 Ge 2.30, 3 Ni 2.55
11 Ni 0.8346 0.4963 0.8346  3 Ge 2.30, 3 Ni 2.55
12 Ni 0.5037 0.1654 0.1654  3 Ge 2.30, 3 Ni 2.55
13 Ni 0.4963 0.8346 0.8346  3 Ge 2.30, 3 Ni 2.55
14 Ni 0.3818 0.8546 0.3818  4 Ge 2.30-2.48, 3 Ni 2.55
15 Ni 0.8346 0.8346 0.4963  3 Ge 2.30, 3 Ni 2.55
16 Ni 0.1454 0.6182 0.6182  4 Ge 2.30-2.48, 3 Ni 2.55
17 Ni 0.3818 0.3818 0.8546  4 Ge 2.30-2.48, 3 Ni 2.55
18 Ni 0.6182 0.6182 0.6182  4 Ge 2.30-2.48, 3 Ni 2.55
19 Ni 0.6182 0.6182 0.1454  4 Ge 2.30-2.48, 3 Ni 2.55
20 Ni 0.1654 0.1654 0.5037  3 Ge 2.30, 3 Ni 2.55
21 Ni 0.3818 0.3818 0.3818  4 Ge 2.30-2.48, 3 Ni 2.55
22 Ni 0.1654 0.1654 0.1654  3 Ge 2.30, 3 Ni 2.55
23 Ge 0.5000 0.5000 0.0000  8 Ni 2.30-2.48
24 Ge 0.0000 0.5000 0.0000  8 Ni 2.30-2.48
25 Ge 0.5000 0.5000 0.5000  8 Ni 2.30
26 Ge 0.5000 0.0000 0.5000  8 Ni 2.30-2.48
27 Ge 0.0000 0.0000 0.5000  8 Ni 2.30-2.48
28 Ge 0.5000 0.0000 0.0000  8 Ni 2.30-2.48
29 Ge 0.0000 0.5000 0.5000  8 Ni 2.30-2.48

Computed properties:
- Space-group type: No. 225
- ρ: 8.10 g/cm3
- Total DFT energy (no corrections): -6.86 eV per atom



[10]
The following is a GGA-PBEsol calculation of crystalline SrTl2Cd at its relaxed geometry, from Alexandria via LeMat-Bulk.

Lattice parameters (Å, degrees): 3.9084 3.9084 7.4340 90.00 90.00 90.00
Closest atoms and distances in Å follow each position.
Sites, in units of the cell vectors:
1 Sr 0.5000 0.5000 0.7449  4 Cd 3.44, 6 Tl 3.46-3.84
2 Tl 0.0000 0.0000 0.0248  4 Tl 3.28, 1 Cd 3.30, 4 Sr 3.46
3 Tl 0.5000 0.5000 0.2616  4 Cd 3.16, 4 Tl 3.28
4 Cd 0.0000 0.0000 0.4686  5 Tl 3.16-3.30, 4 Sr 3.44

Computed properties:
- Space-group type: No. 99
- ρ: 8.90 g/cm3
- Total DFT energy (no corrections): -2.29 eV per atom



[11]
The following is a GGA-PBEsol calculation of crystalline CoRuCl2 at its relaxed geometry, from Alexandria via LeMat-Bulk.

Lattice parameters (Å, degrees): 2.9654 2.9654 7.4333 78.49 78.49 60.00
Closest atoms and distances in Å follow each position.
Sites, in units of the cell vectors:
1 Ru 0.5000 0.5000 0.5000  6 Cl 2.61
2 Co 0.0000 0.0000 0.0000  6 Cl 2.37
3 Cl 0.2576 0.2576 0.2271  3 Co 2.37, 3 Ru 2.61
4 Cl 0.7424 0.7424 0.7729  3 Co 2.37, 3 Ru 2.61

Computed properties:
- Space-group type: No. 166
- E_form (uncorrected): 0.4773 eV/atom
- ρ: 6.96 g/cm3
- Total DFT energy (no corrections): -5.00 eV per atom



[12]
The following is a GGA-PBEsol calculation of crystalline Li3Ti3VO8 at its relaxed geometry, from Alexandria via LeMat-Bulk.

Lattice parameters (Å, degrees): 5.7619 5.7619 5.9365 60.97 60.97 60.00
Closest atoms and distances in Å follow each position.
Sites, in units of the cell vectors:
1 Li 0.5000 0.0000 0.5000  6 O 2.10-2.13
2 Li 0.0000 0.5000 0.5000  6 O 2.10-2.13
3 Li 0.0000 0.0000 0.5000  6 O 2.10-2.13
4 Ti 0.0000 0.5000 0.0000  6 O 2.01-2.03
5 Ti 0.5000 0.0000 0.0000  6 O 2.01-2.03
6 Ti 0.5000 0.5000 0.0000  6 O 2.01-2.03
7 V 0.0000 0.0000 0.0000  6 O 1.98
8 O 0.2539 0.2539 0.2384  3 Ti 2.03, 3 Li 2.10
9 O 0.2535 0.7600 0.2265  1 V 1.98, 2 Ti 2.01, 2 Li 2.13
10 O 0.7600 0.2535 0.2265  1 V 1.98, 2 Ti 2.01, 2 Li 2.13
11 O 0.7461 0.7461 0.7616  3 Ti 2.03, 3 Li 2.10
12 O 0.7600 0.7600 0.2265  1 V 1.98, 2 Ti 2.01, 2 Li 2.13
13 O 0.7465 0.2400 0.7735  1 V 1.98, 2 Ti 2.01, 2 Li 2.13
14 O 0.2400 0.7465 0.7735  1 V 1.98, 2 Ti 2.01, 2 Li 2.13
15 O 0.2400 0.2400 0.7735  1 V 1.98, 2 Ti 2.01, 2 Li 2.13

Computed properties:
- Space-group type: No. 166
- E_form (uncorrected): -2.6272 eV/atom
- ρ: 4.03 g/cm3
- Total DFT energy (no corrections): -8.13 eV per atom